[1]
BaPrBO4: relaxed, GGA-PBE.

```
BaPrBO4
1.0
5.2382 0.0000 -0.1126
0.0000 5.4601 0.0000
-2.1964 0.0000 7.0317
Ba Pr B O
2 2 2 8
direct
0.6991 0.7500 0.9237
0.3009 0.2500 0.0763
0.7802 0.7500 0.4645
0.2198 0.2500 0.5355
0.2014 0.7500 0.3040
0.7986 0.2500 0.6960
0.9765 0.4722 0.7350
0.0235 0.9722 0.2650
0.0235 0.5278 0.2650
0.9765 0.0278 0.7350
0.3888 0.7500 0.1874
0.6112 0.2500 0.8126
0.3503 0.7500 0.5214
0.6497 0.2500 0.4786
```

- Total moment: 0.00 μB per formula unit
- Crystal system: monoclinic
- Energy relative to the elements, uncorrected: -2.910 eV/atom
- V: 199.77 Å³/cell

***

[2]
BaPrB2O6: relaxed, GGA-PBE.

```
BaPrB2O6
1.0
-0.3492 6.5364 1.4192
-5.3078 -0.5821 -4.0434
-2.2038 -3.1232 6.0705
Ba Pr B O
2 2 4 12
direct
0.1400 0.8600 0.2500
0.8600 0.1400 0.7500
0.5917 0.4083 0.2500
0.4083 0.5917 0.7500
0.3791 0.1333 0.7377
0.8667 0.6209 0.7623
0.6209 0.8667 0.2623
0.1333 0.3791 0.2377
0.9339 0.4125 0.1922
0.5875 0.0661 0.3078
0.0661 0.5875 0.8078
0.4125 0.9339 0.6922
0.1896 0.2157 0.1225
0.7843 0.8104 0.3775
0.8104 0.7843 0.8775
0.2157 0.1896 0.6225
0.2925 0.5248 0.3923
0.4752 0.7074 0.1077
0.7074 0.4752 0.6077
0.5248 0.2925 0.8923
```

- Total moment: 0.95 μB per formula unit
- Crystal system: monoclinic
- Energy relative to the elements, uncorrected: -2.701 eV/atom
- V: 296.20 Å³/cell

***

[3]
BaB4Pt3O12: relaxed, GGA-PBE.

```
BaB4Pt3O12
1.0
-0.7746 -1.9664 -5.9684
-5.2926 -2.0960 2.7718
-1.1480 6.2063 -0.5014
Ba B Pt O
1 4 3 12
direct
0.0000 0.0000 0.0000
0.9424 0.0576 0.5000
0.0576 0.5000 0.9424
0.5000 0.9424 0.0576
0.5000 0.5000 0.5000
0.5512 0.4488 0.0000
0.4488 0.0000 0.5512
0.0000 0.5512 0.4488
0.5000 0.3581 0.6419
0.9109 0.5000 0.0891
0.0891 0.9109 0.5000
0.5000 0.0891 0.9109
0.3940 0.9890 0.2203
0.2203 0.3940 0.9890
0.9890 0.2203 0.3940
0.6060 0.7797 0.0110
0.0110 0.6060 0.7797
0.7797 0.0110 0.6060
0.6419 0.5000 0.3581
0.3581 0.6419 0.5000
```

- Total moment: 0.00 μB per formula unit
- Crystal system: trigonal
- Energy relative to the elements, uncorrected: -1.527 eV/atom
- V: 234.39 Å³/cell

***

[4]
BaBPtO5: relaxed, GGA-PBE.

```
BaBPtO5
1.0
-5.3787 1.0004 1.5181
1.9282 -4.1834 3.3192
3.6125 5.8407 2.1547
Ba B Pt O
2 2 2 10
direct
0.3525 0.6475 0.2500
0.6475 0.3525 0.7500
0.7090 0.2910 0.2500
0.2910 0.7090 0.7500
0.0000 0.0000 0.5000
0.0000 0.0000 0.0000
0.0753 0.9247 0.2500
0.9247 0.0753 0.7500
0.8791 0.2970 0.1279
0.1209 0.7030 0.8721
0.7030 0.1209 0.3721
0.2970 0.8791 0.6279
0.7787 0.5762 0.4033
0.2213 0.4238 0.5967
0.4238 0.2213 0.0967
0.5762 0.7787 0.9033
```

- Total moment: 0.66 μB per formula unit
- Crystal system: monoclinic
- Energy relative to the elements, uncorrected: -1.512 eV/atom
- V: 200.63 Å³/cell

***

[5]
BaBPtO4: relaxed, GGA-PBE.

```
BaBPtO4
1.0
-1.7419 2.6620 4.7046
4.8551 -2.7435 1.0745
3.3643 5.2731 -1.7380
Ba B Pt O
2 2 2 8
direct
0.5000 0.5000 0.5000
0.5000 0.5000 0.0000
0.1181 0.8819 0.2500
0.8819 0.1181 0.7500
0.8285 0.1715 0.2500
0.1715 0.8285 0.7500
0.1592 0.1979 0.7500
0.8021 0.8408 0.7500
0.7889 0.2111 0.9381
0.7889 0.2111 0.5619
0.2111 0.7889 0.0619
0.2111 0.7889 0.4381
0.8408 0.8021 0.2500
0.1979 0.1592 0.2500
```

- Total moment: 0.90 μB per formula unit
- Crystal system: orthorhombic
- Energy relative to the elements, uncorrected: -1.443 eV/atom
- V: 197.52 Å³/cell

***

[6]
BaPuB2O6: relaxed, GGA-PBE.

```
BaPuB2O6
1.0
6.5316 -0.2046 0.0701
-1.0028 6.4574 0.0701
-1.5317 -1.7323 6.4241
Ba Pu B O
2 2 4 12
direct
0.1379 0.8621 0.2500
0.8621 0.1379 0.7500
0.5971 0.4029 0.2500
0.4029 0.5971 0.7500
0.3813 0.1389 0.7456
0.8611 0.6187 0.7544
0.6187 0.8611 0.2544
0.1389 0.3813 0.2456
0.9314 0.4075 0.2130
0.5925 0.0686 0.2870
0.0686 0.5925 0.7870
0.4075 0.9314 0.7130
0.2031 0.2277 0.1189
0.7723 0.7969 0.3811
0.7969 0.7723 0.8811
0.2277 0.2031 0.6189
0.3040 0.5330 0.4006
0.4670 0.6960 0.0994
0.6960 0.4670 0.5994
0.5330 0.3040 0.9006
```

- Total moment: 4.00 μB per formula unit
- Crystal system: monoclinic
- Energy relative to the elements, uncorrected: -2.753 eV/atom
- V: 271.26 Å³/cell

***

[7]
Ba3PuB2O8: relaxed, GGA-PBE.

```
Ba3PuB2O8
1.0
-2.1442 -4.7312 2.1184
5.4685 0.3040 -1.2136
1.3880 2.4459 6.8673
Ba Pu B O
3 1 2 8
direct
0.3333 0.6667 0.7142
0.6667 0.3333 0.2858
0.0000 0.0000 0.0000
0.0000 0.0000 0.5000
0.3333 0.6667 0.2456
0.6667 0.3333 0.7544
0.3333 0.6667 0.0549
0.6667 0.3333 0.9451
0.1853 0.8147 0.3225
0.8147 0.1853 0.6775
0.1853 0.3705 0.3225
0.8147 0.6295 0.6775
0.6295 0.8147 0.3225
0.3705 0.1853 0.6775
```

- Total moment: 4.00 μB per formula unit
- Crystal system: trigonal
- Energy relative to the elements, uncorrected: -2.690 eV/atom
- V: 202.24 Å³/cell

***

[8]
BaPuBO5: relaxed, GGA-PBE.

```
BaPuBO5
1.0
-5.2263 2.5000 -0.1060
0.4186 -3.1677 -4.8338
-0.6903 -5.3166 5.5492
Ba Pu B O
2 2 2 10
direct
0.3473 0.6527 0.2500
0.6527 0.3473 0.7500
0.0000 0.0000 0.5000
0.0000 0.0000 0.0000
0.6912 0.3088 0.2500
0.3088 0.6912 0.7500
0.0723 0.9277 0.2500
0.9277 0.0723 0.7500
0.8661 0.2913 0.1282
0.1339 0.7087 0.8718
0.7087 0.1339 0.3718
0.2913 0.8661 0.6282
0.7706 0.5781 0.3774
0.2294 0.4219 0.6226
0.4219 0.2294 0.1226
0.5781 0.7706 0.8774
```

- Total moment: 3.00 μB per formula unit
- Crystal system: monoclinic
- Energy relative to the elements, uncorrected: -2.595 eV/atom
- V: 229.19 Å³/cell

***

[9]
RbBa2B2O6: relaxed, GGA-PBE.

```
RbBa2B2O6
1.0
-5.3060 0.7977 -1.1475
1.6503 -5.2776 1.8185
-0.3763 5.0901 5.2786
Rb Ba B O
1 2 2 6
direct
0.5000 0.0000 0.5000
0.6988 0.3976 0.1914
0.3012 0.6024 0.8086
0.9820 0.9639 0.7761
0.0180 0.0361 0.2239
0.8322 0.6644 0.6367
0.1568 0.8803 0.1587
0.2765 0.1197 0.8413
0.8432 0.1197 0.8413
0.7235 0.8803 0.1587
0.1678 0.3356 0.3633
```

- Total moment: 1.02 μB per formula unit
- Crystal system: monoclinic
- Energy relative to the elements, uncorrected: -2.411 eV/atom
- V: 182.07 Å³/cell

***

[10]
Rb2BaB2O6: relaxed, GGA-PBE.

```
Rb2BaB2O6
1.0
5.8486 0.0000 0.0000
-2.9243 5.0585 -0.1964
0.0000 -3.1005 7.2310
Rb Ba B O
2 1 2 6
direct
0.6981 0.3962 0.0937
0.3019 0.6038 0.9063
0.5000 0.0000 0.5000
0.9181 0.8362 0.7559
0.0819 0.1638 0.2441
0.7829 0.5657 0.7564
0.2175 0.0289 0.2450
0.1885 0.9711 0.7550
0.7825 0.9711 0.7550
0.8115 0.0289 0.2450
0.2171 0.4343 0.2436
```

- Total moment: 1.88 μB per formula unit
- Crystal system: monoclinic
- Energy relative to the elements, uncorrected: -2.096 eV/atom
- V: 210.37 Å³/cell

***

[11]
Ba2B2RhO6: relaxed, GGA-PBE.

```
Ba2B2RhO6
1.0
5.4470 0.0000 0.0000
2.7235 4.7172 0.0000
2.7235 1.5724 5.7194
Ba B Rh O
2 2 1 6
direct
0.7763 0.7763 0.6711
0.2237 0.2237 0.3289
0.4125 0.4125 0.7625
0.5875 0.5875 0.2375
0.0000 0.0000 0.0000
0.7336 0.7336 0.2437
0.2891 0.7336 0.2437
0.7336 0.2891 0.2437
0.2664 0.7109 0.7563
0.7109 0.2664 0.7563
0.2664 0.2664 0.7563
```

- Total moment: 1.01 μB per formula unit
- Crystal system: trigonal
- Energy relative to the elements, uncorrected: -2.170 eV/atom
- V: 146.96 Å³/cell

***

[12]
BaBRhO5: relaxed, GGA-PBE.

```
BaBRhO5
1.0
5.6406 -0.0006 -0.0472
-1.6471 5.3948 -0.0472
-1.7174 -2.3198 6.5543
Ba B Rh O
2 2 2 10
direct
0.3473 0.6527 0.2500
0.6527 0.3473 0.7500
0.7054 0.2946 0.2500
0.2946 0.7054 0.7500
0.0000 0.0000 0.5000
0.0000 0.0000 0.0000
0.0640 0.9360 0.2500
0.9360 0.0640 0.7500
0.8770 0.2961 0.1259
0.1230 0.7039 0.8741
0.7039 0.1230 0.3741
0.2961 0.8770 0.6259
0.7750 0.5772 0.3993
0.2250 0.4228 0.6007
0.4228 0.2250 0.1007
0.5772 0.7750 0.8993
```

- Total moment: 1.21 μB per formula unit
- Crystal system: monoclinic
- Energy relative to the elements, uncorrected: -1.602 eV/atom
- V: 198.20 Å³/cell

***

Let's list raw total energy in order: -0.563; -0.565; -0.503; -0.473; -0.468; -0.639; -0.582; -0.629; -0.497; -0.468; -0.522; -0.492 Ry/atom.